# 1
This record from the Open Quantum Materials Database describes a geometry-optimized NaLiZrS3 structure. The functional is GGA-PBE.

Properties
Offset from the most stable computed form   0.080 eV per formula unit

The structure in CIF format:
```
data_NaLiZrS3
_cell_length_a 7.479
_cell_length_b 3.773
_cell_length_c 9.151
_cell_angle_alpha 90.00
_cell_angle_beta 105.94
_cell_angle_gamma 90.00
_symmetry_space_group_name_H-M 'P 1'
_symmetry_Int_Tables_number 1
_symmetry_space_group_name_Hall 'P 1'
loop_
_atom_site_label
_atom_site_type_symbol
_atom_site_fract_x
_atom_site_fract_y
_atom_site_fract_z
Na1 Na 0.230 0.250 0.189
Na2 Na 0.770 0.750 0.811
Li1 Li 0.422 0.250 0.908
Li2 Li 0.578 0.750 0.092
Zr1 Zr 0.187 0.750 0.659
Zr2 Zr 0.813 0.250 0.341
S1 S 0.067 0.750 0.359
S2 S 0.251 0.750 0.946
S3 S 0.412 0.250 0.651
S4 S 0.588 0.750 0.349
S5 S 0.749 0.250 0.054
S6 S 0.933 0.250 0.641
```

---

# 2
This record from the Open Quantum Materials Database describes a geometry-optimized NaLiZrS3 structure. The functional is GGA-PBE.

Properties
Offset from the most stable computed form   0.114 eV per formula unit

The structure in CIF format:
```
data_NaLiZrS3
_cell_length_a 6.714
_cell_length_b 6.714
_cell_length_c 9.935
_cell_angle_alpha 90.00
_cell_angle_beta 90.00
_cell_angle_gamma 147.47
_symmetry_space_group_name_H-M 'P 1'
_symmetry_Int_Tables_number 1
_symmetry_space_group_name_Hall 'P 1'
loop_
_atom_site_label
_atom_site_type_symbol
_atom_site_fract_x
_atom_site_fract_y
_atom_site_fract_z
Na1 Na 0.243 0.757 0.750
Na2 Na 0.757 0.243 0.250
Li1 Li 0.032 0.968 0.250
Li2 Li 0.968 0.032 0.750
Zr1 Zr 0.500 0.500 0.000
Zr2 Zr 0.500 0.500 0.500
S1 S 0.130 0.870 0.056
S2 S 0.130 0.870 0.444
S3 S 0.428 0.572 0.250
S4 S 0.572 0.428 0.750
S5 S 0.870 0.130 0.556
S6 S 0.870 0.130 0.944
```

---

# 3
This record from the Open Quantum Materials Database describes a geometry-optimized NaLiZrS3 structure. The functional is GGA-PBE.

Properties
Offset from the most stable computed form   0.000 eV per formula unit

The structure in CIF format:
```
data_NaLiZrS3
_cell_length_a 13.101
_cell_length_b 3.767
_cell_length_c 10.350
_cell_angle_alpha 90.00
_cell_angle_beta 90.00
_cell_angle_gamma 90.00
_symmetry_space_group_name_H-M 'P 1'
_symmetry_Int_Tables_number 1
_symmetry_space_group_name_Hall 'P 1'
loop_
_atom_site_label
_atom_site_type_symbol
_atom_site_fract_x
_atom_site_fract_y
_atom_site_fract_z
Na1 Na 0.237 0.250 0.029
Na2 Na 0.263 0.750 0.529
Na3 Na 0.737 0.250 0.471
Na4 Na 0.763 0.750 0.971
Li1 Li 0.015 0.750 0.912
Li2 Li 0.485 0.250 0.412
Li3 Li 0.515 0.750 0.588
Li4 Li 0.985 0.250 0.088
Zr1 Zr 0.006 0.250 0.667
Zr2 Zr 0.494 0.750 0.167
Zr3 Zr 0.506 0.250 0.833
Zr4 Zr 0.994 0.750 0.333
S1 S 0.091 0.750 0.125
S2 S 0.106 0.250 0.439
S3 S 0.127 0.750 0.738
S4 S 0.373 0.250 0.238
S5 S 0.394 0.750 0.939
S6 S 0.409 0.250 0.625
S7 S 0.591 0.750 0.375
S8 S 0.606 0.250 0.061
S9 S 0.627 0.750 0.762
S10 S 0.873 0.250 0.262
S11 S 0.894 0.750 0.561
S12 S 0.909 0.250 0.875
```

---

# 4
This record from the Open Quantum Materials Database describes a geometry-optimized NaLiThSe3 structure. The functional is GGA-PBE.

Properties
VASP energy   -59.91 eV/cell

The structure in CIF format:
```
data_NaLiThSe3
_cell_length_a 6.962
_cell_length_b 6.962
_cell_length_c 11.134
_cell_angle_alpha 90.00
_cell_angle_beta 90.00
_cell_angle_gamma 144.29
_symmetry_space_group_name_H-M 'P 1'
_symmetry_Int_Tables_number 1
_symmetry_space_group_name_Hall 'P 1'
loop_
_atom_site_label
_atom_site_type_symbol
_atom_site_fract_x
_atom_site_fract_y
_atom_site_fract_z
Na1 Na 0.249 0.751 0.750
Na2 Na 0.751 0.249 0.250
Li1 Li 0.475 0.525 0.250
Li2 Li 0.525 0.475 0.750
Th1 Th 0.000 0.000 0.000
Th2 Th 0.000 0.000 0.500
Se1 Se 0.078 0.922 0.250
Se2 Se 0.363 0.637 0.069
Se3 Se 0.363 0.637 0.431
Se4 Se 0.637 0.363 0.569
Se5 Se 0.637 0.363 0.931
Se6 Se 0.922 0.078 0.750
```

---

# 5
This record from the Open Quantum Materials Database describes a geometry-optimized NaLiUSe3 structure. The functional is GGA-PBE.

Properties
VASP energy   -64.11 eV/cell

The structure in CIF format:
```
data_NaLiUSe3
_cell_length_a 6.952
_cell_length_b 6.952
_cell_length_c 10.854
_cell_angle_alpha 90.00
_cell_angle_beta 90.00
_cell_angle_gamma 145.20
_symmetry_space_group_name_H-M 'P 1'
_symmetry_Int_Tables_number 1
_symmetry_space_group_name_Hall 'P 1'
loop_
_atom_site_label
_atom_site_type_symbol
_atom_site_fract_x
_atom_site_fract_y
_atom_site_fract_z
Na1 Na 0.249 0.751 0.750
Na2 Na 0.751 0.249 0.250
Li1 Li 0.027 0.973 0.250
Li2 Li 0.973 0.027 0.750
U1 U 0.500 0.500 0.000
U2 U 0.500 0.500 0.500
Se1 Se 0.134 0.866 0.064
Se2 Se 0.134 0.866 0.436
Se3 Se 0.422 0.578 0.250
Se4 Se 0.578 0.422 0.750
Se5 Se 0.866 0.134 0.564
Se6 Se 0.866 0.134 0.936
```

---

# 6
This record from the Open Quantum Materials Database describes a geometry-optimized NaLiWSe3 structure. The functional is GGA-PBE.

Properties
VASP energy   -60.02 eV/cell

The structure in CIF format:
```
data_NaLiWSe3
_cell_length_a 7.071
_cell_length_b 7.071
_cell_length_c 9.856
_cell_angle_alpha 90.00
_cell_angle_beta 90.00
_cell_angle_gamma 150.43
_symmetry_space_group_name_H-M 'P 1'
_symmetry_Int_Tables_number 1
_symmetry_space_group_name_Hall 'P 1'
loop_
_atom_site_label
_atom_site_type_symbol
_atom_site_fract_x
_atom_site_fract_y
_atom_site_fract_z
Na1 Na 0.248 0.752 0.750
Na2 Na 0.752 0.248 0.250
Li1 Li 0.463 0.537 0.250
Li2 Li 0.537 0.463 0.750
W1 W 0.000 0.000 0.000
W2 W 0.000 0.000 0.500
Se1 Se 0.077 0.923 0.250
Se2 Se 0.367 0.633 0.046
Se3 Se 0.367 0.633 0.454
Se4 Se 0.633 0.367 0.546
Se5 Se 0.633 0.367 0.954
Se6 Se 0.923 0.077 0.750
```

---

# 7
This record from the Open Quantum Materials Database describes a geometry-optimized NaLiSm structure. The functional is GGA-PBE.

Properties
Offset from the most stable computed form   0.000 eV per formula unit

The structure in CIF format:
```
data_NaLiSm
_cell_length_a 7.233
_cell_length_b 7.233
_cell_length_c 7.233
_cell_angle_alpha 90.00
_cell_angle_beta 90.00
_cell_angle_gamma 90.00
_symmetry_space_group_name_H-M 'P 1'
_symmetry_Int_Tables_number 1
_symmetry_space_group_name_Hall 'P 1'
loop_
_atom_site_label
_atom_site_type_symbol
_atom_site_fract_x
_atom_site_fract_y
_atom_site_fract_z
Na1 Na 0.000 0.000 0.000
Na2 Na 0.000 0.500 0.500
Na3 Na 0.500 0.000 0.500
Na4 Na 0.500 0.500 0.000
Li1 Li 0.250 0.250 0.250
Li2 Li 0.250 0.750 0.750
Li3 Li 0.750 0.250 0.750
Li4 Li 0.750 0.750 0.250
Sm1 Sm 0.000 0.000 0.500
Sm2 Sm 0.000 0.500 0.000
Sm3 Sm 0.500 0.000 0.000
Sm4 Sm 0.500 0.500 0.500
```

---

# 8
This record from the Open Quantum Materials Database describes a geometry-optimized NaLiSm structure. The functional is GGA-PBE.

Properties
Offset from the most stable computed form   0.756 eV per formula unit

The structure in CIF format:
```
data_NaLiSm
_cell_length_a 7.511
_cell_length_b 7.511
_cell_length_c 7.511
_cell_angle_alpha 90.00
_cell_angle_beta 90.00
_cell_angle_gamma 90.00
_symmetry_space_group_name_H-M 'P 1'
_symmetry_Int_Tables_number 1
_symmetry_space_group_name_Hall 'P 1'
loop_
_atom_site_label
_atom_site_type_symbol
_atom_site_fract_x
_atom_site_fract_y
_atom_site_fract_z
Na1 Na 0.000 0.000 0.000
Na2 Na 0.000 0.500 0.500
Na3 Na 0.500 0.000 0.500
Na4 Na 0.500 0.500 0.000
Li1 Li 0.000 0.000 0.500
Li2 Li 0.000 0.500 0.000
Li3 Li 0.500 0.000 0.000
Li4 Li 0.500 0.500 0.500
Sm1 Sm 0.250 0.250 0.250
Sm2 Sm 0.250 0.750 0.750
Sm3 Sm 0.750 0.250 0.750
Sm4 Sm 0.750 0.750 0.250
```